First-principles (PBE-GGA) data for crystalline Be2HgTeO6 at its relaxed geometry, as listed in Alexandria via LeMat-Bulk.

```
Be2HgTeO6
1.0
4.772 -4.418 0.000
4.772 4.418 0.000
-1.977 0.000 5.648
Be Hg Te O
4 2 2 12
Cartesian
1.577 0.652 0.802
0.589 -0.652 3.626
6.979 0.652 2.021
5.991 -0.652 4.845
3.290 0.824 4.236
4.278 -0.824 1.412
4.278 2.571 1.412
3.290 -2.571 4.236
-0.084 0.497 4.612
2.311 2.623 5.159
0.904 -0.497 1.789
2.949 1.090 1.550
4.269 2.623 3.313
1.961 -1.090 4.374
5.607 1.090 1.274
3.299 -2.623 2.335
4.619 -1.090 4.098
6.664 0.497 3.859
5.257 -2.623 0.489
7.652 -0.497 1.035
```

Results
raw formation energy	-1.4497	eV/atom
VASP energy	-110.3	eV/cell
theoretical density	6.2	g/cm3
space-group type	C2/c